A plane-wave DFT calculation with PBE-GGA was carried out for an optimized crystal structure of ZrAlNiAu.

The structure belongs to space group P-3m1 (No. 164); the cell edges are 4.2938, 4.2938 and 8.4341 Å and the angles 90.00°, 90.00° and 120.00°. The inequivalent atoms are Zr at (0.3333, 0.6667, 0.2737), Al at (0.0000, 0.0000, 0.0000), Al at (0.0000, 0.0000, 0.5000), Ni at (0.3333, 0.6667, 0.5759) and Au at (0.3333, 0.6667, 0.9004).

The total magnetization comes out at 0.00 μB per atom. For the calculated total energy, the calculation gives -5.88 eV/atom. The density is 9.22 Mg/m³.